A plane-wave DFT calculation with PBE was carried out for crystalline HfPbC3 at its relaxed geometry.

abc: 4.376 4.376 4.376
angles: 90.00 90.00 90.00
Fractional positions:
Hf: 0.000 0.000 0.000
Pb: 0.500 0.500 0.500
C: 0.000 0.000 0.500
C: 0.000 0.500 0.000
C: 0.500 0.000 0.000

## Properties
The calculation puts the total energy at -6.52 eV per atom. Its crystal system is cubic. For the density of states at the Fermi level, the calculation gives 3.59 states/eV/f.u. Its energy relative to the elements is 1.744 eV per atom. Its relative energy among the computed polymorphs is 0 meV/atom.